Entry 1:
# TlFe2Au (PBE, relaxed)
data_TlFe2Au
_symmetry_space_group_name_H-M 'P 1'
_symmetry_Int_Tables_number 1
_symmetry_space_group_name_Hall 'P 1'
_cell_length_a 4.961
_cell_length_b 4.961
_cell_length_c 4.961
_cell_angle_alpha 132.17
_cell_angle_beta 132.17
_cell_angle_gamma 69.96
loop_
_atom_site_label
_atom_site_fract_x
_atom_site_fract_y
_atom_site_fract_z
Au1 0.750 0.250 0.500
Fe1 0.000 0.000 0.000
Fe2 0.250 0.750 0.500
Tl1 0.500 0.500 0.000
# E_form (eV/f.u.): 1.7
# Total magnetization (μB per formula unit): 5.5
# DOS at the Fermi energy (states/eV per atom): 0.564



Entry 2:
# TlFeAu2 (PBE, relaxed)
data_TlFeAu2
_symmetry_space_group_name_H-M 'P 1'
_symmetry_Int_Tables_number 1
_symmetry_space_group_name_Hall 'P 1'
_cell_length_a 5.178
_cell_length_b 5.178
_cell_length_c 5.178
_cell_angle_alpha 132.43
_cell_angle_beta 132.43
_cell_angle_gamma 69.55
loop_
_atom_site_label
_atom_site_fract_x
_atom_site_fract_y
_atom_site_fract_z
Au1 0.000 0.000 0.000
Au2 0.500 0.500 0.000
Fe1 0.250 0.750 0.500
Tl1 0.750 0.250 0.500
# Distance to the lowest polymorph of the same formula (meV/atom): 138
# E_form (eV/f.u.): 1.3
# Total magnetization (μB per formula unit): 3.0
# DOS at the Fermi energy (states/eV per atom): 0.759



Entry 3:
# Tl2FeAu2 (PBE, relaxed)
data_Tl2FeAu2
_symmetry_space_group_name_H-M 'P 1'
_symmetry_Int_Tables_number 1
_symmetry_space_group_name_Hall 'P 1'
_cell_length_a 6.879
_cell_length_b 6.879
_cell_length_c 4.872
_cell_angle_alpha 90.00
_cell_angle_beta 90.00
_cell_angle_gamma 90.00
loop_
_atom_site_label
_atom_site_fract_x
_atom_site_fract_y
_atom_site_fract_z
Tl1 0.174 0.674 0.500
Tl2 0.674 0.826 0.500
Tl3 0.826 0.326 0.500
Tl4 0.326 0.174 0.500
Au1 0.353 0.853 0.000
Au2 0.853 0.647 0.000
Au3 0.647 0.147 0.000
Au4 0.147 0.353 0.000
Fe1 0.000 0.000 0.000
Fe2 0.500 0.500 0.000
# Distance to the lowest polymorph of the same formula (meV/atom): 0
# E_form (eV/f.u.): 1.6
# Total magnetization (μB per formula unit): 3.2
# DOS at the Fermi energy (states/eV per atom): 0.871



Entry 4:
# TlFeAu2 (PBE, relaxed)
data_TlFeAu2
_symmetry_space_group_name_H-M 'P 1'
_symmetry_Int_Tables_number 1
_symmetry_space_group_name_Hall 'P 1'
_cell_length_a 4.731
_cell_length_b 4.731
_cell_length_c 4.731
_cell_angle_alpha 60.00
_cell_angle_beta 60.00
_cell_angle_gamma 60.00
loop_
_atom_site_label
_atom_site_fract_x
_atom_site_fract_y
_atom_site_fract_z
Tl1 0.500 0.500 0.500
Au1 0.250 0.250 0.250
Au2 0.750 0.750 0.750
Fe1 0.000 0.000 0.000
# Distance to the lowest polymorph of the same formula (meV/atom): 163
# E_form (eV/f.u.): 1.4
# Total magnetization (μB per formula unit): 3.3
# DOS at the Fermi energy (states/eV per atom): 0.942



Entry 5:
# Tl4FeAu (PBE, relaxed)
data_Tl4FeAu
_symmetry_space_group_name_H-M 'P 1'
_symmetry_Int_Tables_number 1
_symmetry_space_group_name_Hall 'P 1'
_cell_length_a 6.247
_cell_length_b 6.247
_cell_length_c 6.247
_cell_angle_alpha 60.00
_cell_angle_beta 60.00
_cell_angle_gamma 60.00
loop_
_atom_site_label
_atom_site_fract_x
_atom_site_fract_y
_atom_site_fract_z
Tl1 0.875 0.375 0.375
Tl2 0.375 0.375 0.875
Tl3 0.375 0.875 0.375
Tl4 0.375 0.375 0.375
Fe1 0.000 0.000 0.000
Au1 0.750 0.750 0.750
# E_form (eV/f.u.): 4.5
# Total magnetization (μB per formula unit): 3.5
# DOS at the Fermi energy (states/eV per atom): 1.042



Entry 6:
# TlFe2Au (PBE, relaxed)
data_TlFe2Au
_symmetry_space_group_name_H-M 'P 1'
_symmetry_Int_Tables_number 1
_symmetry_space_group_name_Hall 'P 1'
_cell_length_a 4.837
_cell_length_b 4.837
_cell_length_c 2.949
_cell_angle_alpha 90.00
_cell_angle_beta 90.00
_cell_angle_gamma 107.46
loop_
_atom_site_label
_atom_site_fract_x
_atom_site_fract_y
_atom_site_fract_z
Au1 0.000 0.500 0.500
Fe1 0.000 0.000 0.000
Fe2 0.500 0.500 0.000
Tl1 0.500 0.000 0.500
# E_form (eV/f.u.): 1.8
# Total magnetization (μB per formula unit): 5.3
# DOS at the Fermi energy (states/eV per atom): 0.851



Entry 7:
# TlFe2Au (PBE, relaxed)
data_TlFe2Au
_symmetry_space_group_name_H-M 'P 1'
_symmetry_Int_Tables_number 1
_symmetry_space_group_name_Hall 'P 1'
_cell_length_a 4.034
_cell_length_b 4.030
_cell_length_c 4.030
_cell_angle_alpha 90.00
_cell_angle_beta 90.00
_cell_angle_gamma 90.00
loop_
_atom_site_label
_atom_site_fract_x
_atom_site_fract_y
_atom_site_fract_z
Au1 0.500 0.000 0.500
Fe1 0.000 0.000 0.000
Fe2 0.000 0.500 0.500
Tl1 0.500 0.500 0.000
# E_form (eV/f.u.): 1.6
# Total magnetization (μB per formula unit): 5.2
# DOS at the Fermi energy (states/eV per atom): 0.766



Entry 8:
# TlFeAu2 (PBE, relaxed)
data_TlFeAu2
_symmetry_space_group_name_H-M 'P 1'
_symmetry_Int_Tables_number 1
_symmetry_space_group_name_Hall 'P 1'
_cell_length_a 6.075
_cell_length_b 6.075
_cell_length_c 6.075
_cell_angle_alpha 151.61
_cell_angle_beta 133.60
_cell_angle_gamma 55.29
loop_
_atom_site_label
_atom_site_fract_x
_atom_site_fract_y
_atom_site_fract_z
Au1 0.959 0.959 0.000
Au2 0.541 0.541 0.000
Fe1 0.750 0.250 0.500
Tl1 0.250 0.750 0.500
# Distance to the lowest polymorph of the same formula (meV/atom): 71
# E_form (eV/f.u.): 1.0
# Total magnetization (μB per formula unit): 2.8
# DOS at the Fermi energy (states/eV per atom): 0.621



- What is the DOS at the Fermi energy in the eighth record?
  0.621 states/eV per atom



- The lowest total magnetization belongs to which entry?
  number 8



- What is the formula in the eighth record?
  TlFeAu2



- Among the records above, which one has the lowest DOS at the Fermi energy?
  number 1